(1)
Zr5Ru3: relaxed, PBE-GGA.

Cell lengths 5.770, 7.741, 7.745 Å; angles 84.01, 71.82, 71.99 degrees
Fractional positions:
Zr: 0.061 0.206 0.138
Zr: 0.187 0.362 0.710
Zr: 0.250 0.994 0.506
Zr: 0.313 0.791 0.138
Zr: 0.437 0.363 0.294
Zr: 0.563 0.637 0.706
Zr: 0.687 0.209 0.862
Zr: 0.750 0.006 0.494
Zr: 0.813 0.638 0.290
Zr: 0.939 0.794 0.862
Ru: 0.126 0.671 0.504
Ru: 0.250 0.500 0.000
Ru: 0.371 0.997 0.828
Ru: 0.629 0.003 0.172
Ru: 0.750 0.500 0.000
Ru: 0.874 0.329 0.496

Calculated values
energy above the lowest structure with this stoichiometry	112.7	meV per atom
E_form	-0.364	eV/atom
total magnetic moment	0.00	μB/f.u.

***

(2)
Pm5Nd7: relaxed, PBE-GGA.

Cell lengths 5.726, 5.726, 14.952 Å; angles 102.40, 102.40, 62.86 degrees
Fractional positions:
Pm: 0.000 0.000 0.000
Pm: 0.133 0.133 0.438
Pm: 0.373 0.373 0.200
Pm: 0.627 0.627 0.800
Pm: 0.867 0.867 0.562
Nd: 0.035 0.035 0.214
Nd: 0.247 0.247 0.671
Nd: 0.322 0.322 0.916
Nd: 0.500 0.500 0.500
Nd: 0.678 0.678 0.084
Nd: 0.753 0.753 0.329
Nd: 0.965 0.965 0.786

Calculated values
energy above the lowest structure with this stoichiometry	150.0	meV per atom
E_form	0.155	eV/atom
total magnetic moment	0.00	μB/f.u.

***

(3)
Pm7SmY3: relaxed, PBE-GGA.

Cell lengths 7.202, 7.202, 8.734 Å; angles 90.00, 90.00, 120.00 degrees
Fractional positions:
Pm: 0.000 0.000 0.000
Pm: 0.002 0.501 0.988
Pm: 0.332 0.166 0.330
Pm: 0.499 0.501 0.988
Pm: 0.499 0.998 0.988
Pm: 0.834 0.166 0.330
Pm: 0.834 0.668 0.330
Sm: 0.333 0.667 0.318
Y: 0.167 0.334 0.659
Y: 0.167 0.833 0.659
Y: 0.666 0.833 0.659

Calculated values
energy above the lowest structure with this stoichiometry	59.1	meV per atom
E_form	0.184	eV/atom
total magnetic moment	0.00	μB/f.u.

***

(4)
PaZnHg2O6: relaxed, PBE-GGA.

Cell lengths 5.959, 5.959, 5.959 Å; angles 56.98, 56.98, 56.98 degrees
Fractional positions:
Pa: 0.000 0.000 0.000
Zn: 0.500 0.500 0.500
Hg: 0.243 0.243 0.243
Hg: 0.757 0.757 0.757
O: 0.144 0.363 0.751
O: 0.249 0.856 0.637
O: 0.363 0.751 0.144
O: 0.637 0.249 0.856
O: 0.751 0.144 0.363
O: 0.856 0.637 0.249

Calculated values
E_form (uncorrected)	-1.488	eV per atom
total magnetic moment	0.00	μB/f.u.

***

(5)
TlAgOs2: relaxed, PBE-GGA.

Cell lengths 9.825, 9.825, 9.825 Å; angles 16.97, 16.97, 16.97 degrees
Fractional positions:
Tl: 0.000 0.000 0.000
Ag: 0.761 0.761 0.761
Os: 0.245 0.245 0.245
Os: 0.511 0.511 0.511

Calculated values
energy above the lowest structure with this stoichiometry	121.2	meV per atom
E_form	0.635	eV/atom
total magnetic moment	0.00	μB/f.u.

***

(6)
ZrCd2Hg: relaxed, PBE-GGA.

Cell lengths 6.400, 6.400, 6.400 Å; angles 102.72, 102.72, 124.02 degrees
Fractional positions:
Zr: 0.000 0.000 0.000
Zr: 0.750 0.250 0.500
Cd: 0.138 0.125 0.513
Cd: 0.375 0.862 0.987
Cd: 0.612 0.625 0.487
Cd: 0.875 0.388 0.013
Hg: 0.250 0.750 0.500
Hg: 0.500 0.500 0.000

Calculated values
E_form	0.190	eV/atom
total magnetic moment	0.00	μB/f.u.